Record 1
VASP calculation (PBEsol) on an optimized crystal structure of CsTi2Cu2Te8.

Values from the calculation:
- DOS at the Fermi energy (states/eV/f.u.) = 3.0
- formation energy (no corrections) (eV/atom) = -0.5127
- energy (eV/cell) = -61.1
- crystal system = monoclinic
- symmetry = No. 8

a = 3.8650 Å, b = 9.9404 Å, c = 10.5282 Å
α = 78.14°, β = 79.42°, γ = 78.79°
Last column: nearest neighbours and their distance in Å.
Fractional positions:
Cs  0.0110  0.3614  0.6166  9 Te 3.75-3.98, 2 Cs 3.86
Ti  0.3023  0.2026  0.1928  6 Te 2.64-2.84
Ti  0.6967  0.7924  0.8141  6 Te 2.64-2.84, 2 Cu 2.95
Cu  0.2364  0.5843  0.9429  4 Te 2.58-2.66, 2 Cu 2.67
Cu  0.7626  0.4170  0.0578  4 Te 2.56-2.63, 2 Cu 2.67
Te  0.3739  0.3118  0.9403  3 Cu 2.59-2.66, 1 Ti 2.64
Te  0.6245  0.6843  0.0667  3 Cu 2.60-2.63, 1 Ti 2.64
Te  0.3204  0.6669  0.6924  1 Cu 2.58, 2 Ti 2.71
Te  0.6785  0.3362  0.3068  1 Cu 2.56, 2 Ti 2.71
Te  0.0753  0.9935  0.8559  2 Ti 2.84, 1 Te 3.06
Te  0.9242  0.0012  0.1503  2 Ti 2.84, 1 Te 3.06
Te  0.3150  0.9714  0.3987  1 Ti 2.82, 2 Te 2.95
Te  0.6897  0.0193  0.6014  1 Ti 2.83, 2 Te 2.95



Record 2
VASP calculation (PBEsol) on an optimized crystal structure of BaNbCr2.

Values from the calculation:
- DOS at the Fermi energy (states/eV/f.u.) = 3.7
- energy (eV/cell) = -28.5
- formation enthalpy at 0 K (eV per atom) = 1.249
- crystal system = cubic
- symmetry = No. 225

a = 4.8743 Å, b = 4.8743 Å, c = 4.8743 Å
α = 60.00°, β = 60.00°, γ = 60.00°
Last column: nearest neighbours and their distance in Å.
Fractional positions:
Cr  0.2500  0.2500  0.2500  4 Ba 2.98, 4 Nb 2.98
Cr  0.7500  0.7500  0.7500  4 Ba 2.98, 4 Nb 2.98
Nb  0.0000  0.0000  0.0000  8 Cr 2.98
Ba  0.5000  0.5000  0.5000  8 Cr 2.98